# AcLa2Sm5Y

A relaxed structure of AcLa2Sm5Y (PBE, the Alexandria database).

Unit cell a=8.9393 b=8.9393 c=10.2346 alpha=115.89 beta=115.89 gamma=90.00
Closest atoms and distances in Å follow each position.
Element x y z (fractional)
1 Sm 0.5759 0.6511 0.7270  1 La 3.07, 1 Y 3.25
2 Sm 0.8489 0.9241 0.2730  1 La 3.07, 1 Y 3.25
3 Sm 0.6511 0.1511 0.7270  1 La 3.07, 1 Y 3.25
4 Sm 0.4241 0.3489 0.2730  1 La 3.07, 1 Y 3.25
5 La 0.3823 0.8823 0.0000  1 La 2.98, 2 Sm 3.07
6 Sm 0.3489 0.8489 0.2730  1 La 3.07, 1 Y 3.25
7 Sm 0.1511 0.0759 0.7270  1 La 3.07, 1 Y 3.25
8 La 0.6177 0.1177 0.0000  1 La 2.98, 2 Sm 3.07
9 Ac 0.7500 0.7500 0.5000  10 Sm 3.68-4.02
10 La 0.1177 0.3823 0.0000  1 La 2.98, 2 Sm 3.07
11 Sm 0.0759 0.5759 0.7270  1 La 3.07, 1 Y 3.25
12 Y 0.2500 0.7500 0.5000  4 Sm 3.25
13 Y 0.7500 0.2500 0.5000  4 Sm 3.25
14 Sm 0.9241 0.4241 0.2730  1 La 3.07, 1 Y 3.25
15 Sm 0.5000 0.5000 0.0000  4 La 3.58, 8 Sm 3.88
16 Ac 0.2500 0.2500 0.5000  10 Sm 3.68-4.02
17 La 0.8823 0.6177 0.0000  1 La 2.98, 2 Sm 3.07
18 Sm 0.0000 0.0000 0.0000  4 La 3.58, 8 Sm 3.88

- E (eV for the cell shown) = -83.72
- SG = No. 140
- magnetic moment (μB per cell) = 0.0
- calculated volume (Å³/cell) = 643.2